# 1
# Ir2Pb2Au PBE-GGA relaxed
data_Ir2Pb2Au
_cell_length_a 7.200
_cell_length_b 7.200
_cell_length_c 3.903
_cell_angle_alpha 90.00
_cell_angle_beta 90.00
_cell_angle_gamma 90.00
_space_group_name_H-M_alt 'P 1'
_space_group_IT_number 1
loop_
_space_group_symop_operation_xyz
'x,y,z'
loop_
_atom_site_label
_atom_site_fract_x
_atom_site_fract_y
_atom_site_fract_z
Pb1 0.165 0.665 0.500
Pb2 0.665 0.835 0.500
Pb3 0.835 0.335 0.500
Pb4 0.335 0.165 0.500
Ir1 0.363 0.863 0.000
Ir2 0.863 0.637 0.000
Ir3 0.637 0.137 0.000
Ir4 0.137 0.363 0.000
Au1 0.000 0.000 0.000
Au2 0.500 0.500 0.000
# Fermi-level density of states: 7.6 states/eV/cell
# M_tot: 0.00 μB/f.u.
# formation energy: 327 meV per atom

# 2
# IrPbAu2 PBE-GGA relaxed
data_IrPbAu2
_cell_length_a 5.225
_cell_length_b 5.225
_cell_length_c 5.225
_cell_angle_alpha 132.59
_cell_angle_beta 132.64
_cell_angle_gamma 69.26
_space_group_name_H-M_alt 'P 1'
_space_group_IT_number 1
loop_
_space_group_symop_operation_xyz
'x,y,z'
loop_
_atom_site_label
_atom_site_fract_x
_atom_site_fract_y
_atom_site_fract_z
Au1 0.000 0.000 0.000
Au2 0.750 0.250 0.500
Ir1 0.500 0.500 0.000
Pb1 0.250 0.750 0.500
# Fermi-level density of states: 2.5 states/eV/cell
# M_tot: 0.00 μB/f.u.
# formation energy: 344 meV per atom

# 3
# IrPbAu2 PBE-GGA relaxed
data_IrPbAu2
_cell_length_a 3.946
_cell_length_b 3.946
_cell_length_c 10.735
_cell_angle_alpha 79.41
_cell_angle_beta 79.41
_cell_angle_gamma 90.00
_space_group_name_H-M_alt 'P 1'
_space_group_IT_number 1
loop_
_space_group_symop_operation_xyz
'x,y,z'
loop_
_atom_site_label
_atom_site_fract_x
_atom_site_fract_y
_atom_site_fract_z
Pb1 0.000 0.000 0.000
Pb2 0.750 0.250 0.500
Ir1 0.500 0.500 0.000
Ir2 0.250 0.750 0.500
Au1 0.613 0.125 0.250
Au2 0.137 0.625 0.250
Au3 0.375 0.387 0.750
Au4 0.875 0.863 0.750
# Fermi-level density of states: 5.5 states/eV/cell
# M_tot: 0.00 μB/f.u.
# formation energy: 370 meV per atom

# 4
# IrPbAu2 PBE-GGA relaxed
data_IrPbAu2
_cell_length_a 4.970
_cell_length_b 4.970
_cell_length_c 5.075
_cell_angle_alpha 78.36
_cell_angle_beta 78.36
_cell_angle_gamma 39.19
_space_group_name_H-M_alt 'P 1'
_space_group_IT_number 1
loop_
_space_group_symop_operation_xyz
'x,y,z'
loop_
_atom_site_label
_atom_site_fract_x
_atom_site_fract_y
_atom_site_fract_z
Au1 0.008 0.008 0.969
Au2 0.756 0.756 0.760
Ir1 0.496 0.496 0.492
Pb1 0.241 0.241 0.279
# Fermi-level density of states: 2.4 states/eV/cell
# M_tot: 0.00 μB/f.u.
# formation energy: 343 meV per atom

# 5
# IrPbAu2 PBE-GGA relaxed
data_IrPbAu2
_cell_length_a 3.250
_cell_length_b 3.250
_cell_length_c 7.554
_cell_angle_alpha 90.00
_cell_angle_beta 90.00
_cell_angle_gamma 90.01
_space_group_name_H-M_alt 'P 1'
_space_group_IT_number 1
loop_
_space_group_symop_operation_xyz
'x,y,z'
loop_
_atom_site_label
_atom_site_fract_x
_atom_site_fract_y
_atom_site_fract_z
Au1 0.000 0.000 0.040
Au2 0.000 0.000 0.460
Ir1 0.500 0.500 0.250
Pb1 0.500 0.500 0.750
# Fermi-level density of states: 3.6 states/eV/cell
# M_tot: 0.00 μB/f.u.
# formation energy: 387 meV per atom

# 6
# IrPbAu2 PBE-GGA relaxed
data_IrPbAu2
_cell_length_a 9.543
_cell_length_b 9.543
_cell_length_c 9.543
_cell_angle_alpha 18.75
_cell_angle_beta 18.75
_cell_angle_gamma 18.75
_space_group_name_H-M_alt 'P 1'
_space_group_IT_number 1
loop_
_space_group_symop_operation_xyz
'x,y,z'
loop_
_atom_site_label
_atom_site_fract_x
_atom_site_fract_y
_atom_site_fract_z
Au1 0.993 0.993 0.993
Au2 0.247 0.247 0.247
Ir1 0.503 0.503 0.503
Pb1 0.757 0.757 0.757
# Fermi-level density of states: 2.6 states/eV/cell
# M_tot: 0.00 μB/f.u.
# formation energy: 398 meV per atom

# 7
# IrPbAu2 PBE-GGA relaxed
data_IrPbAu2
_cell_length_a 4.343
_cell_length_b 3.251
_cell_length_c 5.787
_cell_angle_alpha 73.62
_cell_angle_beta 90.00
_cell_angle_gamma 90.00
_space_group_name_H-M_alt 'P 1'
_space_group_IT_number 1
loop_
_space_group_symop_operation_xyz
'x,y,z'
loop_
_atom_site_label
_atom_site_fract_x
_atom_site_fract_y
_atom_site_fract_z
Au1 0.000 0.024 0.072
Au2 0.500 0.457 0.206
Ir1 0.000 0.300 0.531
Pb1 0.500 0.719 0.691
# Fermi-level density of states: 1.7 states/eV/cell
# M_tot: 0.00 μB/f.u.
# formation energy: 307 meV per atom

# 8
# IrPbAu2 PBE-GGA relaxed
data_IrPbAu2
_cell_length_a 3.267
_cell_length_b 3.927
_cell_length_c 5.981
_cell_angle_alpha 90.00
_cell_angle_beta 90.00
_cell_angle_gamma 90.00
_space_group_name_H-M_alt 'P 1'
_space_group_IT_number 1
loop_
_space_group_symop_operation_xyz
'x,y,z'
loop_
_atom_site_label
_atom_site_fract_x
_atom_site_fract_y
_atom_site_fract_z
Au1 0.000 0.000 0.028
Au2 0.500 0.500 0.243
Ir1 0.000 0.000 0.502
Pb1 0.500 0.500 0.727
# Fermi-level density of states: 2.6 states/eV/cell
# M_tot: 0.00 μB/f.u.
# formation energy: 331 meV per atom

# 9
# IrPbAu2 PBE-GGA relaxed
data_IrPbAu2
_cell_length_a 4.214
_cell_length_b 4.214
_cell_length_c 4.277
_cell_angle_alpha 90.00
_cell_angle_beta 90.00
_cell_angle_gamma 94.17
_space_group_name_H-M_alt 'P 1'
_space_group_IT_number 1
loop_
_space_group_symop_operation_xyz
'x,y,z'
loop_
_atom_site_label
_atom_site_fract_x
_atom_site_fract_y
_atom_site_fract_z
Au1 0.000 0.000 0.000
Au2 0.500 0.500 0.000
Ir1 0.500 0.000 0.500
Pb1 0.000 0.500 0.500
# Fermi-level density of states: 2.1 states/eV/cell
# M_tot: 0.00 μB/f.u.
# formation energy: 342 meV per atom

# 10
# IrPbAu3 PBE-GGA relaxed
data_IrPbAu3
_cell_length_a 5.065
_cell_length_b 5.065
_cell_length_c 5.065
_cell_angle_alpha 90.00
_cell_angle_beta 90.00
_cell_angle_gamma 90.00
_space_group_name_H-M_alt 'P 1'
_space_group_IT_number 1
loop_
_space_group_symop_operation_xyz
'x,y,z'
loop_
_atom_site_label
_atom_site_fract_x
_atom_site_fract_y
_atom_site_fract_z
Pb1 0.500 0.500 0.500
Ir1 0.000 0.000 0.000
Au1 0.000 0.500 0.000
Au2 0.000 0.000 0.500
Au3 0.500 0.000 0.000
# distance to the lowest polymorph of the same formula: 0.00 eV per formula unit
# Fermi-level density of states: 3.7 states/eV/cell
# M_tot: 0.00 μB/f.u.
# formation energy: 675 meV per atom

# 11
# IrPbAu2 PBE-GGA relaxed
data_IrPbAu2
_cell_length_a 4.805
_cell_length_b 3.246
_cell_length_c 5.271
_cell_angle_alpha 75.81
_cell_angle_beta 90.00
_cell_angle_gamma 90.00
_space_group_name_H-M_alt 'P 1'
_space_group_IT_number 1
loop_
_space_group_symop_operation_xyz
'x,y,z'
loop_
_atom_site_label
_atom_site_fract_x
_atom_site_fract_y
_atom_site_fract_z
Au1 0.000 0.083 0.024
Au2 0.000 0.417 0.476
Ir1 0.500 0.250 0.250
Pb1 0.500 0.750 0.750
# Fermi-level density of states: 2.5 states/eV/cell
# M_tot: 0.00 μB/f.u.
# formation energy: 387 meV per atom

# 12
# IrPbAu3 PBE-GGA relaxed
data_IrPbAu3
_cell_length_a 5.193
_cell_length_b 5.193
_cell_length_c 5.193
_cell_angle_alpha 90.00
_cell_angle_beta 90.00
_cell_angle_gamma 90.00
_space_group_name_H-M_alt 'P 1'
_space_group_IT_number 1
loop_
_space_group_symop_operation_xyz
'x,y,z'
loop_
_atom_site_label
_atom_site_fract_x
_atom_site_fract_y
_atom_site_fract_z
Pb1 0.000 0.000 0.000
Ir1 0.500 0.500 0.500
Au1 0.000 0.500 0.000
Au2 0.000 0.000 0.500
Au3 0.500 0.000 0.000
# distance to the lowest polymorph of the same formula: 4.80 eV per formula unit
# Fermi-level density of states: 2.5 states/eV/cell
# M_tot: 1.96 μB/f.u.
# formation energy: 1635 meV per atom